Record 1
The following is a PBE calculation of a relaxed Ba2NiBr crystal, from the Alexandria database.

abc: 8.223 8.223 7.502
angles: 56.77 56.77 90.00
Atoms (fractional coordinates):
Ni 0.500 0.500 0.000
Ni 0.250 0.750 0.500
Ba 0.589 0.125 0.250
Ba 0.161 0.625 0.250
Ba 0.375 0.411 0.750
Ba 0.875 0.839 0.750
Br 0.000 0.000 0.000
Br 0.750 0.250 0.500

Summary:
- ΔE to the lowest computed polymorph: 206 meV/atom
- Formation energy without anion corrections: -0.553 eV per atom

=====

Record 2
The following is a PBE calculation of a relaxed Ba2NiBr crystal, from the Alexandria database.

abc: 4.449 4.449 8.869
angles: 75.47 75.47 60.00
Atoms (fractional coordinates):
Ba 0.070 0.070 0.789
Ba 0.263 0.263 0.210
Ni 0.667 0.667 0.999
Br 0.499 0.499 0.502

Summary:
- ΔE to the lowest computed polymorph: 14 meV/atom
- Formation energy without anion corrections: -0.744 eV per atom

=====

Record 3
The following is a PBE calculation of a relaxed BaNiBr crystal, from the Alexandria database.

abc: 4.998 4.998 4.998
angles: 60.00 60.00 60.00
Each line ends with the local moment (μB).
Atoms (fractional coordinates):
Ba 0.000 0.000 0.000  0.04
Br 0.500 0.500 0.500  0.07
Ni 0.750 0.750 0.750  0.20

Summary:
- ΔE to the lowest computed polymorph: 158 meV/atom
- Formation energy without anion corrections: -0.232 eV per atom

=====

Record 4
The following is a PBE calculation of a relaxed Ba2NiBr crystal, from the Alexandria database.

abc: 5.588 5.588 5.588
angles: 60.00 60.00 60.00
Atoms (fractional coordinates):
Ba 0.000 0.000 0.000
Ba 0.250 0.250 0.250
Br 0.500 0.500 0.500
Ni 0.750 0.750 0.750

Summary:
- ΔE to the lowest computed polymorph: 738 meV/atom
- Formation energy without anion corrections: -0.020 eV per atom

=====

Record 5
The following is a PBE calculation of a relaxed BaNiBr3 crystal, from the Alexandria database.

abc: 6.264 6.264 6.264
angles: 90.00 90.00 90.00
Each line ends with the local moment (μB).
Atoms (fractional coordinates):
Ni 0.500 0.500 0.500  0.94
Ba 0.000 0.000 0.000  0.00
Br 0.000 0.500 0.000  0.00
Br 0.000 0.000 0.500  0.00
Br 0.500 0.000 0.000  0.00

Summary:
- ΔE to the lowest computed polymorph: 762 meV/atom
- Formation energy without anion corrections: -0.411 eV per atom

=====

Record 6
The following is a PBE calculation of a relaxed Ba2NiBr crystal, from the Alexandria database.

abc: 3.874 3.901 9.344
angles: 64.93 90.00 90.00
Atoms (fractional coordinates):
Ba 0.000 0.035 0.967
Ba 0.000 0.465 0.533
Br 0.500 0.250 0.250
Ni 0.500 0.750 0.750

Summary:
- ΔE to the lowest computed polymorph: 89 meV/atom
- Formation energy without anion corrections: -0.670 eV per atom